No. 1
# PBE KAsO2F, optimized geometry
data_KAsO2F
_symmetry_space_group_name_H-M 'P 4/m m m'
_symmetry_Int_Tables_number 123
_symmetry_space_group_name_Hall '-P 4 2'
_cell_length_a 4.594
_cell_length_b 4.594
_cell_length_c 4.528
_cell_angle_alpha 90.00
_cell_angle_beta 90.00
_cell_angle_gamma 90.00
loop_
_atom_site_label
_atom_site_type_symbol
_atom_site_fract_x
_atom_site_fract_y
_atom_site_fract_z
K1 K 0.000 0.000 0.000
As1 As 0.500 0.500 0.500
O1 O 0.000 0.500 0.000
F1 F 0.000 0.000 0.500
# Raw total energy, eV per atom: -3.021
# ρ, Mg/m³: 2.868
# Uncorrected formation energy, kJ/mol of formula units: 234
# Volume, Å³/f.u.: 96

No. 2
# PBE Ca2EuHo, optimized geometry
data_Ca2EuHo
_symmetry_space_group_name_H-M 'R -3 m'
_symmetry_Int_Tables_number 166
_symmetry_space_group_name_Hall '-R 3 2"'
_cell_length_a 3.6581
_cell_length_b 3.6581
_cell_length_c 40.1781
_cell_angle_alpha 90.00
_cell_angle_beta 90.00
_cell_angle_gamma 120.00
loop_
_atom_site_label
_atom_site_type_symbol
_atom_site_fract_x
_atom_site_fract_y
_atom_site_fract_z
Ca1 Ca 0.0000 0.0000 0.0853
Eu1 Eu 0.0000 0.0000 0.5000
Ho1 Ho 0.0000 0.0000 0.0000
# Raw total energy, eV per atom: -4.463
# ρ, Mg/m³: 4.248
# Volume, Å³/f.u.: 155
# ΔE to the lowest computed polymorph, meV/atom: 114

No. 3
# PBE PmTm4Rh5, optimized geometry
data_PmTm4Rh5
_symmetry_space_group_name_H-M 'P 4/m m m'
_symmetry_Int_Tables_number 123
_symmetry_space_group_name_Hall '-P 4 2'
_cell_length_a 3.362
_cell_length_b 3.362
_cell_length_c 17.462
_cell_angle_alpha 90.00
_cell_angle_beta 90.00
_cell_angle_gamma 90.00
loop_
_atom_site_label
_atom_site_type_symbol
_atom_site_fract_x
_atom_site_fract_y
_atom_site_fract_z
Pm1 Pm 0.000 0.000 0.000
Tm1 Tm 0.000 0.000 0.205
Tm2 Tm 0.000 0.000 0.402
Rh1 Rh 0.500 0.500 0.109
Rh2 Rh 0.500 0.500 0.304
Rh3 Rh 0.500 0.500 0.500
# Raw total energy, eV per atom: -6.841
# ρ, Mg/m³: 11.233
# Volume, Å³/f.u.: 197

No. 4
# PBE Pr2Ho2Sc5, optimized geometry
data_Pr2Ho2Sc5
_symmetry_space_group_name_H-M 'I m a 2'
_symmetry_Int_Tables_number 46
_cell_length_a 11.804
_cell_length_b 8.496
_cell_length_c 10.422
_cell_angle_alpha 90.00
_cell_angle_beta 90.00
_cell_angle_gamma 90.00
loop_
_symmetry_equiv_pos_as_xyz
'x,y,z'
'-x,-y,z'
'-x+1/2,y,z'
'x+1/2,-y,z'
'x+1/2,y+1/2,z+1/2'
'-x+1/2,-y+1/2,z+1/2'
'-x,y+1/2,z+1/2'
'x,-y+1/2,z+1/2'
loop_
_atom_site_label
_atom_site_type_symbol
_atom_site_fract_x
_atom_site_fract_y
_atom_site_fract_z
Pr1 Pr 0.000 0.000 0.000
Pr2 Pr 0.250 0.101 0.109
Ho1 Ho 0.105 0.125 0.423
Sc1 Sc 0.104 0.703 0.742
Sc2 Sc 0.125 0.066 0.729
Sc3 Sc 0.250 0.696 0.004
# Raw total energy, eV per atom: -5.394
# ρ, Mg/m³: 5.316
# Volume, Å³/f.u.: 261

No. 5
# PBE ZrP2OsCl, optimized geometry
data_ZrP2OsCl
_symmetry_space_group_name_H-M 'P 4/m m m'
_symmetry_Int_Tables_number 123
_symmetry_space_group_name_Hall '-P 4 2'
_cell_length_a 5.073
_cell_length_b 5.073
_cell_length_c 4.798
_cell_angle_alpha 90.00
_cell_angle_beta 90.00
_cell_angle_gamma 90.00
loop_
_atom_site_label
_atom_site_type_symbol
_atom_site_fract_x
_atom_site_fract_y
_atom_site_fract_z
Zr1 Zr 0.000 0.000 0.000
P1 P 0.000 0.500 0.000
Os1 Os 0.500 0.500 0.500
Cl1 Cl 0.000 0.000 0.500
# Raw total energy, eV per atom: -5.422
# ρ, Mg/m³: 5.095
# Uncorrected formation energy, kJ/mol of formula units: 515
# Volume, Å³/f.u.: 123
# ΔE to the lowest computed polymorph, meV/atom: 583

No. 6
# PBE Ho3ErN4, optimized geometry
data_Ho3ErN4
_symmetry_space_group_name_H-M 'P m -3 m'
_symmetry_Int_Tables_number 221
_symmetry_space_group_name_Hall '-P 4 2 3'
_cell_length_a 4.872
_cell_length_b 4.872
_cell_length_c 4.872
_cell_angle_alpha 90.00
_cell_angle_beta 90.00
_cell_angle_gamma 90.00
loop_
_atom_site_label
_atom_site_type_symbol
_atom_site_fract_x
_atom_site_fract_y
_atom_site_fract_z
Ho1 Ho 0.000 0.000 0.500
Er1 Er 0.500 0.500 0.500
N1 N 0.000 0.000 0.000
N2 N 0.000 0.500 0.500
# Raw total energy, eV per atom: -8.204
# ρ, Mg/m³: 10.313
# Uncorrected formation energy, kJ/mol of formula units: -1354
# Volume, Å³/f.u.: 116

No. 7
# PBE Mg2OsS6, optimized geometry
data_Mg2OsS6
_symmetry_space_group_name_H-M 'F m -3 m'
_symmetry_Int_Tables_number 225
_symmetry_space_group_name_Hall '-F 4 2 3'
_cell_length_a 8.854
_cell_length_b 8.854
_cell_length_c 8.854
_cell_angle_alpha 90.00
_cell_angle_beta 90.00
_cell_angle_gamma 90.00
loop_
_atom_site_label
_atom_site_type_symbol
_atom_site_fract_x
_atom_site_fract_y
_atom_site_fract_z
Mg1 Mg 0.250 0.250 0.250
Os1 Os 0.000 0.000 0.000
S1 S 0.000 0.000 0.262
# Raw total energy, eV per atom: -4.286
# ρ, Mg/m³: 4.126
# Uncorrected formation energy, kJ/mol of formula units: 59
# Volume, Å³/f.u.: 174